First-principles (PBE) data for a geometry-optimized YHfHg2 structure, as listed in Alexandria via LeMat-Bulk.

POSCAR file:
```
YHfHg2
1.0
-1.9445 -4.7153 0.1080
-2.5258 -1.6237 4.1243
-5.0517 -0.6813 -0.2067
Hg Hf Y
2 1 1
Cartesian
-7.1414 -5.2652 3.0193 Hg
-2.3805 -1.7551 1.0064 Hg
-4.7610 -3.5102 2.0128 Hf
0.0000 0.0000 0.0000 Y
```

Calculated values
Density of states at the Fermi level in states/eV/atom: 0.484
VASP energy in eV per atom: -4.44
Formation energy from the elements in eV/f.u.: -0.74
Offset from the most stable computed form in kJ/mol of formula units: 11.3